Material: LiZr2Mo
Method: DFT, SCAN
State: PBEsol geometry

a b c (Å): 4.665 4.665 4.665
angles (deg): 60.00 60.00 60.00
Fractional coordinates of all 4 atoms:
Mo  0.500  0.500  0.500
Zr  0.250  0.250  0.250
Zr  0.750  0.750  0.750
Li  0.000  0.000  0.000

Summary:
SG: Fm-3m (225)
VASP energy: -98.51 eV/cell
Offset from the most stable computed form: 0 meV per atom
Formation energy from the elements: 0.0410 eV per atom